Entry 1:
Below is a relaxed structure of Sr2ReAu, with properties calculated at the PBE level.

Cell and atoms, written as extended XYZ:
```
8
Lattice="-3.1135 -1.6377 2.8918 3.3172 -1.7729 2.5674 0.5614 7.0581 8.1872" Properties=species:S:1:pos:R:3 pbc="T T T"
Re 0.1018 -1.7053 2.7296
Re 1.9902 1.7899 6.7422
Au 0.0000 0.0000 0.0000
Au -1.2251 1.8575 6.9044
Sr -1.3873 0.5213 4.1717
Sr 1.8207 0.4498 4.0163
Sr 0.5014 4.0125 8.1907
Sr 0.5954 2.3114 10.9143
```

Output
As for the symmetry: No. 122.

***

Entry 2:
Below is a relaxed structure of SrReAu2, with properties calculated at the PBE level.

Cell and atoms, written as extended XYZ:
```
4
Lattice="5.5923 -0.0004 0.0000 2.3992 5.0515 0.0000 -3.9957 -2.5255 2.9882" Properties=species:S:1:pos:R:3 pbc="T T T"
Au 0.0000 0.0000 0.0000
Au 1.1996 2.5257 1.4941
Re 3.9957 2.5255 0.0000
Sr 2.7961 -0.0002 1.4941
```

Output
As for the symmetry: No. 119.

***

Entry 3:
Below is a relaxed structure of Sr2ReAu, with properties calculated at the PBE level.

Cell and atoms, written as extended XYZ:
```
4
Lattice="-1.6709 -1.3782 3.2633 1.3400 -0.8165 3.5886 -1.9699 8.4729 3.6001" Properties=species:S:1:pos:R:3 pbc="T T T"
Au -1.7256 4.7086 7.8390
Re -0.5752 1.5695 2.6130
Sr -0.3433 -2.1373 6.8671
Sr -1.1381 3.0817 5.2108
```

Output
As for the symmetry: No. 12.

***

Entry 4:
Below is a relaxed structure of SrReAu, with properties calculated at the PBE level.

Cell and atoms, written as extended XYZ:
```
3
Lattice="7.4105 0.0025 -0.0026 6.8291 2.8778 0.0018 0.5815 0.1139 2.8730" Properties=species:S:1:pos:R:3 pbc="T T T"
Au 14.0190 2.8356 0.0456
Re 5.3194 1.0735 1.8761
Sr 9.7223 1.9653 0.9497
```

Output
As for the symmetry: No. 107.

***

Entry 5:
Below is a relaxed structure of SrReAu2, with properties calculated at the PBE level.

Cell and atoms, written as extended XYZ:
```
4
Lattice="-1.7327 4.2558 -1.4717 -2.9343 3.6699 1.0963 4.4261 3.7084 2.9170" Properties=species:S:1:pos:R:3 pbc="T T T"
Au 4.1219 3.5748 2.7442
Au 0.1838 5.9507 1.4436
Re -0.1807 8.7255 1.9062
Sr -0.0602 2.9085 0.6354
```

Output
As for the symmetry: No. 12.

***

Entry 6:
Below is a relaxed structure of SrYRe2Au, with properties calculated at the PBE level.

Cell and atoms, written as extended XYZ:
```
5
Lattice="-2.7615 3.9783 -1.4388 -1.0197 -2.3726 -4.6031 -4.1163 -2.1304 2.0100" Properties=species:S:1:pos:R:3 pbc="T T T"
Y -3.9488 -0.2624 -2.0160
Re -2.0582 -1.0652 1.0050
Re -1.3808 1.9891 -0.7194
Au 0.0000 0.0000 0.0000
Sr -0.5099 -1.1863 -2.3016
```

Output
As for the symmetry: No. 123.

***

Entry 7:
Below is a relaxed structure of Ta3ReAu, with properties calculated at the PBE level.

Cell and atoms, written as extended XYZ:
```
5
Lattice="4.8264 0.0000 0.0000 0.0000 4.8264 0.0000 0.0000 0.0000 4.8264" Properties=species:S:1:pos:R:3 pbc="T T T"
Re 0.0000 0.0000 0.0000
Au 2.4132 2.4132 2.4132
Ta 0.0000 2.4132 0.0000
Ta 0.0000 0.0000 2.4132
Ta 2.4132 0.0000 0.0000
```

Output
As for the symmetry: No. 221.

***

Entry 8:
Below is a relaxed structure of Ta2ReAu, with properties calculated at the PBE level.

Cell and atoms, written as extended XYZ:
```
4
Lattice="-0.7777 -6.3367 5.9699 -0.6436 -8.0394 3.3691 1.9808 -7.0753 4.7344" Properties=species:S:1:pos:R:3 pbc="T T T"
Au 0.1399 -5.3628 3.5184
Re 0.4196 -16.0885 10.5551
Ta 0.0031 -0.1180 0.0774
Ta 0.2767 -10.6077 6.9593
```

Output
As for the symmetry: No. 166.

***

| no. | calculated density (g/cm³) | DFT formation energy (kJ/mol of atoms) | raw total energy (eV/atom) |
| --- | --- | --- | --- |
| 1 | 8.7 | 107.5 | -3.66 |
| 2 | 13.1 | 55.4 | -4.60 |
| 3 | 8.9 | 63.8 | -4.11 |
| 4 | 12.8 | 64.9 | -5.13 |
| 5 | 13.0 | 42.2 | -4.73 |
| 6 | 9.2 | 150.2 | -5.71 |
| 7 | 13.7 | 120.2 | -9.01 |
| 8 | 17.3 | 14.4 | -9.71 |